Ba12Pd3Rh5, optimized geometry, DFT PBE; size of the total moment = 0.0 μB per formula unit; Fermi-level density of states = 0.715 states/eV per atom; total DFT energy (no corrections) = -77.3 eV/f.u.; energy of formation from the pure elements = -0.092 eV per atom
1.0
-9.271 9.271 9.271
9.271 -9.271 9.271
9.271 9.271 -9.271
Ba Pd Rh
48 12 20
direct
0.037 0.215 0.126
0.037 0.323 0.911
0.089 0.626 0.411
0.089 0.715 0.677
0.089 0.874 0.411
0.089 0.963 0.677
0.126 0.037 0.215
0.126 0.589 0.911
0.177 0.215 0.589
0.177 0.463 0.589
0.215 0.126 0.037
0.215 0.589 0.177
0.285 0.323 0.911
0.285 0.463 0.374
0.323 0.911 0.037
0.323 0.911 0.285
0.374 0.285 0.463
0.374 0.589 0.911
0.411 0.089 0.626
0.411 0.089 0.874
0.411 0.823 0.537
0.411 0.823 0.785
0.463 0.374 0.285
0.463 0.589 0.177
0.537 0.411 0.823
0.537 0.626 0.715
0.589 0.177 0.215
0.589 0.177 0.463
0.589 0.911 0.126
0.589 0.911 0.374
0.626 0.411 0.089
0.626 0.715 0.537
0.677 0.089 0.715
0.677 0.089 0.963
0.715 0.537 0.626
0.715 0.677 0.089
0.785 0.411 0.823
0.785 0.874 0.963
0.823 0.537 0.411
0.823 0.785 0.411
0.874 0.411 0.089
0.874 0.963 0.785
0.911 0.037 0.323
0.911 0.126 0.589
0.911 0.285 0.323
0.911 0.374 0.589
0.963 0.677 0.089
0.963 0.785 0.874
0.125 0.250 0.375
0.125 0.375 0.750
0.250 0.375 0.125
0.250 0.875 0.625
0.375 0.125 0.250
0.375 0.750 0.125
0.625 0.250 0.875
0.625 0.875 0.750
0.750 0.125 0.375
0.750 0.625 0.875
0.875 0.625 0.250
0.875 0.750 0.625
0.000 0.000 0.000
0.000 0.000 0.500
0.000 0.500 0.000
0.000 0.500 0.500
0.125 0.750 0.875
0.125 0.875 0.250
0.250 0.125 0.875
0.250 0.625 0.375
0.375 0.250 0.625
0.375 0.625 0.750
0.500 0.000 0.000
0.500 0.000 0.500
0.500 0.500 0.000
0.500 0.500 0.500
0.625 0.375 0.250
0.625 0.750 0.375
0.750 0.375 0.625
0.750 0.875 0.125
0.875 0.125 0.750
0.875 0.250 0.125